VASP calculation (PBE-GGA) on an optimized crystal structure of Pr3SmTl2.

Cell: 5.1245 8.7947 10.4067 Å, 117.76 90.00 106.94°
Fractional positions:
Pr (0.2874, 0.5747, 0.6186)
Pr (0.9581, 0.9162, 0.6381)
Pr (0.6321, 0.2642, 0.6746)
Pr (0.3679, 0.7358, 0.3254)
Pr (0.0419, 0.0838, 0.3619)
Pr (0.7126, 0.4253, 0.3814)
Sm (0.8810, 0.7620, 0.9349)
Sm (0.1190, 0.2380, 0.0651)
Tl (0.5085, 0.0170, 0.8586)
Tl (0.4915, 0.9830, 0.1414)
Tl (0.7602, 0.5204, 0.1040)
Tl (0.2398, 0.4796, 0.8960)

## Properties
* energy of formation from the pure elements: -0.189 eV/atom
* ΔE to the lowest computed polymorph: 0.0828 eV/atom
* Fermi-level density of states: 6.33 states/eV/f.u.